Tb5Pr2ThSc: relaxed, PBE.

Properties
Electronic total energy = -4.990 eV per atom
Crystal system = orthorhombic
Calculated formation energy = 0.17 eV/atom

abc: 5.7025 11.3129 9.5713
angles: 90.00 90.00 104.60
Closest atoms and distances in Å follow each position.
Atoms (fractional coordinates):
Tb  0.3926  0.7852  0.0449  4 Pr 3.31-3.60, 3 Tb 3.34-3.68, 1 Th 3.70
Tb  0.7326  0.4653  0.8324  1 Th 3.05, 1 Pr 3.35
Tb  0.4727  0.9455  0.7476  2 Th 3.30-3.42, 4 Tb 3.34-3.67, 2 Pr 3.49
Tb  0.3042  0.6083  0.7176  5 Tb 3.43-3.77, 1 Th 3.45, 3 Sc 3.45-3.73, 3 Pr 3.49-3.72
Tb  0.9876  0.9753  0.5093  2 Pr 3.34-3.69, 2 Th 3.52, 2 Tb 3.67
Tb  0.6074  0.2148  0.5449  4 Pr 3.31-3.60, 3 Tb 3.34-3.68, 1 Th 3.70
Tb  0.2674  0.5347  0.3324  1 Th 3.05, 1 Pr 3.35
Tb  0.5273  0.0545  0.2476  2 Th 3.30-3.42, 4 Tb 3.34-3.67, 2 Pr 3.49
Tb  0.6958  0.3917  0.2176  5 Tb 3.43-3.77, 1 Th 3.45, 3 Sc 3.45-3.73, 3 Pr 3.49-3.72
Tb  0.0124  0.0247  0.0093  2 Pr 3.34-3.69, 2 Th 3.52, 2 Tb 3.67
Pr  0.8855  0.7710  0.8162  9 Tb 3.34-3.69, 1 Sc 3.37
Pr  0.1342  0.2684  0.7103  1 Sc 3.18, 2 Tb 3.31
Pr  0.1145  0.2290  0.3162  9 Tb 3.34-3.69, 1 Sc 3.37
Pr  0.8658  0.7316  0.2103  1 Sc 3.18, 2 Tb 3.31
Th  0.6002  0.2005  0.9316  2 Tb 3.05-3.30
Th  0.3998  0.7995  0.4316  2 Tb 3.05-3.30
Sc  0.8067  0.6134  0.5140  2 Pr 3.18-3.37, 5 Tb 3.45
Sc  0.1933  0.3866  0.0140  2 Pr 3.18-3.37, 5 Tb 3.45

---

SmTh2Al2: relaxed, PBE.

Properties
Electronic total energy = -5.374 eV per atom
Crystal system = orthorhombic
Calculated formation energy = 0.04 eV/atom

abc: 5.8145 5.9505 8.8156
angles: 109.72 90.00 90.00
Closest atoms and distances in Å follow each position.
Atoms (fractional coordinates):
Sm  0.0000  0.0000  0.0000  2 Sm 2.91, 4 Al 3.14
Sm  0.5000  0.0000  0.0000  2 Sm 2.91, 4 Al 3.14
Th  0.7500  0.3835  0.7669  2 Th 3.27, 4 Al 3.32
Th  0.7500  0.8018  0.6036  6 Al 3.04-3.37, 2 Th 3.27
Th  0.2500  0.6165  0.2331  2 Th 3.27, 4 Al 3.32
Th  0.2500  0.1982  0.3964  6 Al 3.04-3.37, 2 Th 3.27
Al  0.7500  0.3855  0.2866  2 Al 2.88-3.07, 1 Th 3.04, 2 Sm 3.14
Al  0.2500  0.0989  0.7134  2 Al 2.88-3.07, 1 Th 3.04, 2 Sm 3.14
Al  0.2500  0.6145  0.7134  2 Al 2.88-3.07, 1 Th 3.04, 2 Sm 3.14
Al  0.7500  0.9011  0.2866  2 Al 2.88-3.07, 1 Th 3.04, 2 Sm 3.14